1.
SbPtBr: single point on PBEsol structure, meta-GGA SCAN.

Cell and atoms, written as CIF:
```
data_SbPtBr
_symmetry_space_group_name_H-M 'F -4 3 m'
_symmetry_Int_Tables_number 216
_symmetry_space_group_name_Hall 'F -4 2 3'
_cell_length_a 6.666
_cell_length_b 6.666
_cell_length_c 6.666
_cell_angle_alpha 90.00
_cell_angle_beta 90.00
_cell_angle_gamma 90.00
loop_
_atom_site_label
_atom_site_type_symbol
_atom_site_fract_x
_atom_site_fract_y
_atom_site_fract_z
_atom_site_occupancy
Sb1 Sb 0.000 0.000 0.000 1
Pt1 Pt 0.250 0.250 0.750 1
Br1 Br 0.250 0.250 0.250 1
```

calculated volume	24.69	Å³ per atom
ΔE_f (raw)	0.410	eV/atom
total moment	0.000	μB/f.u.
VASP energy	-502.7	eV/cell
crystal system	cubic

***

2.
SbTe2PtBr: single point on PBEsol structure, meta-GGA SCAN.

Cell and atoms, written as CIF:
```
data_SbTe2PtBr
_symmetry_space_group_name_H-M 'P 4/m m m'
_symmetry_Int_Tables_number 123
_symmetry_space_group_name_Hall '-P 4 2'
_cell_length_a 5.255
_cell_length_b 5.255
_cell_length_c 5.278
_cell_angle_alpha 90.00
_cell_angle_beta 90.00
_cell_angle_gamma 90.00
loop_
_atom_site_label
_atom_site_type_symbol
_atom_site_fract_x
_atom_site_fract_y
_atom_site_fract_z
_atom_site_occupancy
Sb1 Sb 0.000 0.000 0.000 1
Te1 Te 0.000 0.500 0.500 1
Pt1 Pt 0.000 0.000 0.500 1
Br1 Br 0.500 0.500 0.000 1
```

calculated volume	29.14	Å³ per atom
ΔE_f (raw)	0.303	eV/atom
total moment	1.546	μB/f.u.
VASP energy	-199.9	eV/cell
crystal system	tetragonal

***

The lowest ΔE_f (raw) belongs to which entry? SbTe2PtBr

***

Among the records above, which one has the lowest total moment? SbPtBr

***

Number 2 is which compound? SbTe2PtBr